1.
A plane-wave DFT calculation with PBE was carried out for crystalline CaWIN2 at its relaxed geometry.

Computed properties:
Its energy above the most stable polymorph in this dataset is 0.0 meV/atom.

```
data_CaWIN2
_chemical_formula_sum 'Ca1 W1 I1 N2'
_symmetry_space_group_name_H-M 'P 4/m m m'
_symmetry_Int_Tables_number 123
_symmetry_space_group_name_Hall '-P 4 2'
_cell_length_a 4.0775
_cell_length_b 4.0775
_cell_length_c 5.6145
_cell_angle_alpha 90.00
_cell_angle_beta 90.00
_cell_angle_gamma 90.00
loop_
_atom_site_label
_atom_site_fract_x
_atom_site_fract_y
_atom_site_fract_z
Ca1 0.0000 0.0000 0.0000
W1 0.5000 0.5000 0.5000
I1 0.5000 0.5000 0.0000
N1 0.0000 0.5000 0.5000
```


2.
A plane-wave DFT calculation with PBE was carried out for crystalline Ag2Hg at its relaxed geometry.

Computed properties:
Its energy above the most stable polymorph in this dataset is 29.9 meV/atom.

```
data_Ag2Hg
_chemical_formula_sum 'Ag2 Hg1'
_symmetry_space_group_name_H-M 'P -3 m 1'
_symmetry_Int_Tables_number 164
_symmetry_space_group_name_Hall '-P 3 2"'
_cell_length_a 3.0825
_cell_length_b 3.0825
_cell_length_c 7.2038
_cell_angle_alpha 90.00
_cell_angle_beta 90.00
_cell_angle_gamma 120.00
loop_
_atom_site_label
_atom_site_fract_x
_atom_site_fract_y
_atom_site_fract_z
Ag1 0.3333 0.6667 0.1578
Hg1 0.0000 0.0000 0.5000
```


3.
A plane-wave DFT calculation with PBE was carried out for crystalline MgBeAu2 at its relaxed geometry.

Computed properties:
Its energy above the most stable polymorph in this dataset is 81.3 meV/atom.

```
data_MgBeAu2
_chemical_formula_sum 'Mg1 Be1 Au2'
_symmetry_space_group_name_H-M 'P 4/m m m'
_symmetry_Int_Tables_number 123
_symmetry_space_group_name_Hall '-P 4 2'
_cell_length_a 4.4010
_cell_length_b 4.4010
_cell_length_c 3.2019
_cell_angle_alpha 90.00
_cell_angle_beta 90.00
_cell_angle_gamma 90.00
loop_
_atom_site_label
_atom_site_fract_x
_atom_site_fract_y
_atom_site_fract_z
Mg1 0.0000 0.0000 0.0000
Be1 0.5000 0.5000 0.0000
Au1 0.0000 0.5000 0.5000
```


4.
A plane-wave DFT calculation with PBE was carried out for crystalline Ac8PrPb6 at its relaxed geometry.

Computed properties:
For the uncorrected energy, the calculation gives -4.38 eV per atom.

```
data_Ac8PrPb6
_chemical_formula_sum 'Ac24 Pr3 Pb18'
_symmetry_space_group_name_H-M 'R -3'
_symmetry_Int_Tables_number 148
_symmetry_space_group_name_Hall '-R 3'
_cell_length_a 9.9662
_cell_length_b 9.9662
_cell_length_c 21.3276
_cell_angle_alpha 90.00
_cell_angle_beta 90.00
_cell_angle_gamma 120.00
loop_
_atom_site_label
_atom_site_fract_x
_atom_site_fract_y
_atom_site_fract_z
Ac1 0.0000 0.0000 0.1658
Ac2 0.9998 0.3351 0.6040
Pr1 0.0000 0.0000 0.5000
Pb1 0.0004 0.3279 0.4334
```


5.
A plane-wave DFT calculation with PBE was carried out for crystalline InRh4Se8 at its relaxed geometry.

Computed properties:
For the uncorrected energy, the calculation gives -5.04 eV per atom.

```
data_InRh4Se8
_chemical_formula_sum 'In4 Rh16 Se32'
_symmetry_space_group_name_H-M 'F -4 3 m'
_symmetry_Int_Tables_number 216
_symmetry_space_group_name_Hall 'F -4 2 3'
_cell_length_a 10.7124
_cell_length_b 10.7124
_cell_length_c 10.7124
_cell_angle_alpha 90.00
_cell_angle_beta 90.00
_cell_angle_gamma 90.00
loop_
_atom_site_label
_atom_site_fract_x
_atom_site_fract_y
_atom_site_fract_z
In1 0.0000 0.0000 0.0000
Rh1 0.1207 0.1207 0.3793
Se1 0.1100 0.1100 0.6100
Se2 0.1423 0.1423 0.1423
```


6.
A plane-wave DFT calculation with PBE was carried out for crystalline TaV6Ru5 at its relaxed geometry.

Computed properties:
For the uncorrected energy, the calculation gives -9.66 eV per atom.

```
data_TaV6Ru5
_chemical_formula_sum 'Ta2 V12 Ru10'
_symmetry_space_group_name_H-M 'I m m m'
_symmetry_Int_Tables_number 71
_symmetry_space_group_name_Hall '-I 2 2'
_cell_length_a 4.2812
_cell_length_b 6.0586
_cell_length_c 12.8952
_cell_angle_alpha 90.00
_cell_angle_beta 90.00
_cell_angle_gamma 90.00
loop_
_atom_site_label
_atom_site_fract_x
_atom_site_fract_y
_atom_site_fract_z
Ta1 0.0000 0.0000 0.0000
V1 0.0000 0.2492 0.1658
V2 0.0000 0.2487 0.5000
Ru1 0.0000 0.0000 0.3336
Ru2 0.0000 0.5000 0.0000
Ru3 0.0000 0.5000 0.3292
```


7.
A plane-wave DFT calculation with PBE was carried out for crystalline Sm8In2Os at its relaxed geometry.

Computed properties:
For the uncorrected energy, the calculation gives -5.17 eV per atom.

```
data_Sm8In2Os
_chemical_formula_sum 'Sm16 In4 Os2'
_symmetry_space_group_name_H-M 'C 1 2/m 1'
_symmetry_Int_Tables_number 12
_cell_length_a 17.6895
_cell_length_b 5.5472
_cell_length_c 7.1157
_cell_angle_alpha 90.00
_cell_angle_beta 112.10
_cell_angle_gamma 90.00
loop_
_symmetry_equiv_pos_as_xyz
'x,y,z'
'-x,-y,-z'
'-x,y,-z'
'x,-y,z'
'x+1/2,y+1/2,z'
'-x+1/2,-y+1/2,-z'
'-x+1/2,y+1/2,-z'
'x+1/2,-y+1/2,z'
loop_
_atom_site_label
_atom_site_fract_x
_atom_site_fract_y
_atom_site_fract_z
Sm1 0.0067 0.0000 0.2688
Sm2 0.1090 0.5000 0.9019
Sm3 0.1399 0.5000 0.4044
Sm4 0.1968 0.0000 0.7390
In1 0.1835 0.0000 0.1886
Os1 0.0000 0.5000 0.5000
```


8.
A plane-wave DFT calculation with PBE was carried out for crystalline Ge2Rh2Au at its relaxed geometry.

Computed properties:
Its energy above the most stable polymorph in this dataset is 0.0 meV/atom.

```
data_Ge2Rh2Au
_chemical_formula_sum 'Ge4 Rh4 Au2'
_symmetry_space_group_name_H-M 'P 4/m b m'
_symmetry_Int_Tables_number 127
_symmetry_space_group_name_Hall '-P 4 2ab'
_cell_length_a 7.3315
_cell_length_b 7.3315
_cell_length_c 2.9029
_cell_angle_alpha 90.00
_cell_angle_beta 90.00
_cell_angle_gamma 90.00
loop_
_atom_site_label
_atom_site_fract_x
_atom_site_fract_y
_atom_site_fract_z
Ge1 0.1545 0.3455 0.0000
Rh1 0.1428 0.6428 0.5000
Au1 0.0000 0.0000 0.5000
```